Ac6La | PBE | relaxed

Crystal system: tetragonal
Uncorrected energy, Ha/atom: -0.1451

Cell: 7.2331 7.2331 12.4347 Å, 90.00 90.00 90.00°
Closest atoms and distances in Å follow each position.
Space group P4/nbm (No. 125, origin choice 2)
Unique sites:
Ac: 0.0783 0.5783 0.1375 [8 per cell]  8 Ac 3.51-3.86
Ac: 0.2500 0.2500 0.3605 [4 per cell]  5 Ac 3.47-3.86
La: 0.2500 0.7500 0.5000 [2 per cell]  8 Ac 4.01